#a
A relaxed structure of KReP2Cl, computed with PBE.

Cell lengths 5.034, 5.034, 4.970 Å; angles 90.00, 90.00, 90.00 degrees
Space group P4/mmm (No. 123)
Asymmetric unit:
K  0.000  0.000  0.000 (multiplicity 1)
Re  0.500  0.500  0.500 (multiplicity 1)
P  0.000  0.500  0.000 (multiplicity 2)
Cl  0.000  0.000  0.500 (multiplicity 1)

* crystal system: tetragonal

---

#b
A relaxed structure of KReP2Cl, computed with PBE.

Cell lengths 4.571, 4.571, 5.623 Å; angles 90.00, 90.00, 90.00 degrees
Space group P4/mmm (No. 123)
Asymmetric unit:
K  0.000  0.000  0.000 (multiplicity 1)
Re  0.500  0.500  0.500 (multiplicity 1)
P  0.000  0.500  0.500 (multiplicity 2)
Cl  0.500  0.500  0.000 (multiplicity 1)

* crystal system: tetragonal

---

How far above the most stable structure does each one sit? In eV/atom: #a 2.796; #b 0.000.

---

#a
A relaxed structure of KP2RhCl, computed with PBE.

Cell lengths 5.325, 5.325, 5.264 Å; angles 90.00, 90.00, 90.00 degrees
Space group P4/mmm (No. 123)
Asymmetric unit:
K  0.000  0.000  0.000 (multiplicity 1)
P  0.000  0.500  0.000 (multiplicity 2)
Rh  0.500  0.500  0.500 (multiplicity 1)
Cl  0.000  0.000  0.500 (multiplicity 1)

* crystal system: tetragonal

---

#b
A relaxed structure of KP2RhCl, computed with PBE.

Cell lengths 4.419, 4.419, 8.254 Å; angles 90.00, 90.00, 90.00 degrees
Space group P4/mmm (No. 123)
Asymmetric unit:
K  0.000  0.000  0.000 (multiplicity 1)
P  0.000  0.500  0.500 (multiplicity 2)
Rh  0.500  0.500  0.500 (multiplicity 1)
Cl  0.500  0.500  0.000 (multiplicity 1)

* crystal system: tetragonal

---

How far above the most stable structure does each one sit? In eV/atom: #a 2.158; #b 0.000.

---

#a
A relaxed structure of KPRuCl2, computed with PBE.

Cell lengths 5.173, 5.173, 4.440 Å; angles 90.00, 90.00, 90.00 degrees
Space group P4/mmm (No. 123)
Asymmetric unit:
K  0.000  0.000  0.000 (multiplicity 1)
P  0.500  0.500  0.000 (multiplicity 1)
Ru  0.500  0.500  0.500 (multiplicity 1)
Cl  0.000  0.500  0.500 (multiplicity 2)

* crystal system: tetragonal

---

#b
A relaxed structure of KPRuCl2, computed with PBE.

Cell lengths 5.633, 5.633, 5.825 Å; angles 90.00, 90.00, 90.00 degrees
Space group P4/mmm (No. 123)
Asymmetric unit:
K  0.000  0.000  0.000 (multiplicity 1)
P  0.000  0.000  0.500 (multiplicity 1)
Ru  0.500  0.500  0.500 (multiplicity 1)
Cl  0.000  0.500  0.000 (multiplicity 2)

* crystal system: tetragonal

---

How far above the most stable structure does each one sit? In eV/atom: #a 0.000; #b 1.625.

---

#a
A relaxed structure of KP2RuCl, computed with PBE.

Cell lengths 5.302, 5.302, 5.255 Å; angles 90.00, 90.00, 90.00 degrees
Space group P4/mmm (No. 123)
Asymmetric unit:
K  0.000  0.000  0.000 (multiplicity 1)
P  0.000  0.500  0.000 (multiplicity 2)
Ru  0.500  0.500  0.500 (multiplicity 1)
Cl  0.000  0.000  0.500 (multiplicity 1)

* crystal system: tetragonal

---

#b
A relaxed structure of KP2RuCl, computed with PBE.

Cell lengths 4.463, 4.463, 6.447 Å; angles 90.00, 90.00, 90.00 degrees
Space group P4/mmm (No. 123)
Asymmetric unit:
K  0.000  0.000  0.000 (multiplicity 1)
P  0.000  0.500  0.500 (multiplicity 2)
Ru  0.500  0.500  0.500 (multiplicity 1)
Cl  0.500  0.500  0.000 (multiplicity 1)

* crystal system: tetragonal

---

How far above the most stable structure does each one sit? In eV/atom: #a 2.234; #b 0.000.

---

#a
A relaxed structure of KP2SCl, computed with PBE.

Cell lengths 4.862, 4.862, 5.115 Å; angles 90.00, 90.00, 90.00 degrees
Space group P4/mmm (No. 123)
Asymmetric unit:
K  0.000  0.000  0.000 (multiplicity 1)
P  0.000  0.500  0.500 (multiplicity 2)
S  0.500  0.500  0.000 (multiplicity 1)
Cl  0.500  0.500  0.500 (multiplicity 1)

* crystal system: tetragonal

---

#b
A relaxed structure of KP2SCl, computed with PBE.

Cell lengths 6.948, 6.948, 5.680 Å; angles 90.00, 90.00, 90.00 degrees
Space group P4/mmm (No. 123)
Asymmetric unit:
K  0.000  0.000  0.000 (multiplicity 1)
P  0.000  0.500  0.000 (multiplicity 2)
S  0.500  0.500  0.500 (multiplicity 1)
Cl  0.000  0.000  0.500 (multiplicity 1)

* crystal system: tetragonal

---

#c
A relaxed structure of KP2SCl, computed with PBE.

Cell lengths 4.471, 4.471, 7.939 Å; angles 90.00, 90.00, 90.00 degrees
Space group P4/mmm (No. 123)
Asymmetric unit:
K  0.000  0.000  0.000 (multiplicity 1)
P  0.000  0.500  0.500 (multiplicity 2)
S  0.500  0.500  0.500 (multiplicity 1)
Cl  0.500  0.500  0.000 (multiplicity 1)

* crystal system: tetragonal

---

How far above the most stable structure does each one sit? In eV/atom: #a 0.756; #b 1.326; #c 0.000.

---

#a
A relaxed structure of KScPCl2, computed with PBE.

Cell lengths 5.138, 5.138, 5.148 Å; angles 90.00, 90.00, 90.00 degrees
Space group P4/mmm (No. 123)
Asymmetric unit:
K  0.000  0.000  0.000 (multiplicity 1)
Sc  0.500  0.500  0.500 (multiplicity 1)
P  0.500  0.500  0.000 (multiplicity 1)
Cl  0.000  0.500  0.500 (multiplicity 2)

* crystal system: tetragonal

---

#b
A relaxed structure of KScPCl2, computed with PBE.

Cell lengths 5.206, 5.206, 5.553 Å; angles 90.00, 90.00, 90.00 degrees
Space group P4/mmm (No. 123)
Asymmetric unit:
K  0.000  0.000  0.000 (multiplicity 1)
Sc  0.500  0.500  0.500 (multiplicity 1)
P  0.000  0.000  0.500 (multiplicity 1)
Cl  0.000  0.500  0.000 (multiplicity 2)

* crystal system: tetragonal

---

How far above the most stable structure does each one sit? In eV/atom: #a 0.000; #b 1.378.

---

#a
A relaxed structure of KP2SeCl, computed with PBE.

Cell lengths 4.719, 4.719, 7.582 Å; angles 90.00, 90.00, 90.00 degrees
Space group P4/mmm (No. 123)
Asymmetric unit:
K  0.000  0.000  0.000 (multiplicity 1)
P  0.000  0.500  0.500 (multiplicity 2)
Se  0.500  0.500  0.500 (multiplicity 1)
Cl  0.500  0.500  0.000 (multiplicity 1)

* crystal system: tetragonal

---

#b
A relaxed structure of KP2SeCl, computed with PBE.

Cell lengths 6.734, 6.734, 5.626 Å; angles 90.00, 90.00, 90.00 degrees
Space group P4/mmm (No. 123)
Asymmetric unit:
K  0.000  0.000  0.000 (multiplicity 1)
P  0.000  0.500  0.000 (multiplicity 2)
Se  0.500  0.500  0.500 (multiplicity 1)
Cl  0.000  0.000  0.500 (multiplicity 1)

* crystal system: tetragonal

---

How far above the most stable structure does each one sit? In eV/atom: #a 0.000; #b 1.140.

---

#a
A relaxed structure of KTePCl2, computed with PBE.

Cell lengths 5.552, 5.552, 6.106 Å; angles 90.00, 90.00, 90.00 degrees
Space group P4/mmm (No. 123)
Asymmetric unit:
K  0.000  0.000  0.000 (multiplicity 1)
Te  0.500  0.500  0.500 (multiplicity 1)
P  0.000  0.000  0.500 (multiplicity 1)
Cl  0.000  0.500  0.000 (multiplicity 2)

* crystal system: tetragonal

---

#b
A relaxed structure of KTePCl2, computed with PBE.

Cell lengths 5.765, 5.765, 4.932 Å; angles 90.00, 90.00, 90.00 degrees
Space group P4/mmm (No. 123)
Asymmetric unit:
K  0.000  0.000  0.000 (multiplicity 1)
Te  0.500  0.500  0.500 (multiplicity 1)
P  0.500  0.500  0.000 (multiplicity 1)
Cl  0.000  0.500  0.500 (multiplicity 2)

* crystal system: tetragonal

---

How far above the most stable structure does each one sit? In eV/atom: #a 0.909; #b 0.000.

---

#a
A relaxed structure of KVPCl2, computed with PBE.

Cell lengths 5.572, 5.572, 5.845 Å; angles 90.00, 90.00, 90.00 degrees
Space group P4/mmm (No. 123)
Asymmetric unit:
K  0.000  0.000  0.000 (multiplicity 1)
V  0.500  0.500  0.500 (multiplicity 1)
P  0.000  0.000  0.500 (multiplicity 1)
Cl  0.000  0.500  0.000 (multiplicity 2)

* crystal system: tetragonal

---

#b
A relaxed structure of KVPCl2, computed with PBE.

Cell lengths 5.065, 5.065, 4.631 Å; angles 90.00, 90.00, 90.00 degrees
Space group P4/mmm (No. 123)
Asymmetric unit:
K  0.000  0.000  0.000 (multiplicity 1)
V  0.500  0.500  0.500 (multiplicity 1)
P  0.500  0.500  0.000 (multiplicity 1)
Cl  0.000  0.500  0.500 (multiplicity 2)

* crystal system: tetragonal

---

How far above the most stable structure does each one sit? In eV/atom: #a 1.805; #b 0.000.

---

#a
A relaxed structure of KVP2Cl, computed with PBE.

Cell lengths 5.255, 5.255, 5.211 Å; angles 90.00, 90.00, 90.00 degrees
Space group P4/mmm (No. 123)
Asymmetric unit:
K  0.000  0.000  0.000 (multiplicity 1)
V  0.500  0.500  0.500 (multiplicity 1)
P  0.000  0.500  0.000 (multiplicity 2)
Cl  0.000  0.000  0.500 (multiplicity 1)

* crystal system: tetragonal

---

#b
A relaxed structure of KVP2Cl, computed with PBE.

Cell lengths 4.499, 4.499, 5.577 Å; angles 90.00, 90.00, 90.00 degrees
Space group P4/mmm (No. 123)
Asymmetric unit:
K  0.000  0.000  0.000 (multiplicity 1)
V  0.500  0.500  0.500 (multiplicity 1)
P  0.000  0.500  0.500 (multiplicity 2)
Cl  0.500  0.500  0.000 (multiplicity 1)

* crystal system: tetragonal

---

How far above the most stable structure does each one sit? In eV/atom: #a 2.238; #b 0.000.

---

#a
A relaxed structure of KP2WCl, computed with PBE.

Cell lengths 5.073, 5.073, 4.987 Å; angles 90.00, 90.00, 90.00 degrees
Space group P4/mmm (No. 123)
Asymmetric unit:
K  0.000  0.000  0.000 (multiplicity 1)
P  0.000  0.500  0.000 (multiplicity 2)
W  0.500  0.500  0.500 (multiplicity 1)
Cl  0.000  0.000  0.500 (multiplicity 1)

* crystal system: tetragonal

---

#b
A relaxed structure of KP2WCl, computed with PBE.

Cell lengths 4.676, 4.676, 5.449 Å; angles 90.00, 90.00, 90.00 degrees
Space group P4/mmm (No. 123)
Asymmetric unit:
K  0.000  0.000  0.000 (multiplicity 1)
P  0.000  0.500  0.500 (multiplicity 2)
W  0.500  0.500  0.500 (multiplicity 1)
Cl  0.500  0.500  0.000 (multiplicity 1)

* crystal system: tetragonal

---

How far above the most stable structure does each one sit? In eV/atom: #a 2.665; #b 0.000.

---

#a
A relaxed structure of KYP2Cl, computed with PBE.

Cell lengths 5.126, 5.126, 5.172 Å; angles 90.00, 90.00, 90.00 degrees
Space group P4/mmm (No. 123)
Asymmetric unit:
K  0.000  0.000  0.000 (multiplicity 1)
Y  0.500  0.500  0.500 (multiplicity 1)
P  0.000  0.500  0.000 (multiplicity 2)
Cl  0.000  0.000  0.500 (multiplicity 1)

* crystal system: tetragonal

---

#b
A relaxed structure of KYP2Cl, computed with PBE.

Cell lengths 5.369, 5.369, 5.489 Å; angles 90.00, 90.00, 90.00 degrees
Space group P4/mmm (No. 123)
Asymmetric unit:
K  0.000  0.000  0.000 (multiplicity 1)
Y  0.500  0.500  0.500 (multiplicity 1)
P  0.000  0.500  0.500 (multiplicity 2)
Cl  0.500  0.500  0.000 (multiplicity 1)

* crystal system: tetragonal

---

How far above the most stable structure does each one sit? In eV/atom: #a 1.075; #b 0.000.

---

#a
A relaxed structure of K2PbCl, computed with PBE.

Cell lengths 5.249, 5.249, 10.394 Å; angles 90.00, 90.00, 90.00 degrees
Space group I4/mmm (No. 139)
Asymmetric unit:
K  0.000  0.500  0.250 (multiplicity 4)
Pb  0.000  0.000  0.000 (multiplicity 2)
Cl  0.000  0.000  0.500 (multiplicity 2)

* crystal system: tetragonal

---

#b
A relaxed structure of K2PbCl, computed with PBE.

Cell lengths 3.874, 3.874, 10.588 Å; angles 90.00, 90.00, 90.00 degrees
Space group P4mm (No. 99)
Asymmetric unit:
K  0.000  0.000  0.000 (multiplicity 1)
K  0.500  0.500  0.409 (multiplicity 1)
Pb  0.000  0.000  0.656 (multiplicity 1)
Cl  0.500  0.500  0.126 (multiplicity 1)

* crystal system: tetragonal

---

How far above the most stable structure does each one sit? In eV/atom: #a 0.337; #b 0.000.